Entry 1:
Density functional theory data (PBE) for a relaxed ZrAg2Os crystal.

Calculated values
formation enthalpy at 0 K = 0.441 eV/atom
magnetization = 0.00 μB per formula unit
space-group type = No. 225

a b c (Å): 4.6457 4.6457 4.6457
angles (deg): 60.00 60.00 60.00
With the nearest neighbours (Å) after each atom.
Element x y z (fractional)
Os: 0.5000 0.5000 0.5000  8 Ag 2.84
Zr: 0.0000 0.0000 0.0000  8 Ag 2.84
Ag: 0.2500 0.2500 0.2500  4 Zr 2.84, 4 Os 2.84
Ag: 0.7500 0.7500 0.7500  4 Zr 2.84, 4 Os 2.84

Entry 2:
Density functional theory data (PBE) for a relaxed TlCr2Os crystal.

Calculated values
formation enthalpy at 0 K = 0.543 eV/atom
magnetization = 0.02 μB per formula unit
space-group type = No. 47

a b c (Å): 2.8665 3.7969 5.7134
angles (deg): 90.00 90.00 90.00
With the nearest neighbours (Å) after each atom.
Element x y z (fractional)
Cr: 0.0000 0.0000 0.0611  1 Cr 2.16
Cr: 0.0000 0.0000 0.4389  1 Cr 2.16
Os: 0.5000 0.5000 0.2500  8 Cr 2.61, 2 Tl 2.86, 2 Os 2.87
Tl: 0.5000 0.5000 0.7500  2 Os 2.86, 2 Tl 2.87, 8 Cr 2.97

| no. | offset from the most stable computed form (eV per atom) |
| --- | --- |
| 1 | 0.368 |
| 2 | 0.060 |